A relaxed structure of Na2Zn2Au. Source: Alexandria, functional GGA-PBEsol.

Results
Distance to the lowest polymorph of the same formula ... 0 meV/atom
Magnetization ... 0.0 μB per formula unit
Formation energy ... -0.080 eV per atom
ρ ... 6.0 g/cm³

a b c (Å): 4.795 6.590 6.590
angles (deg): 90.00 90.00 90.00
Positions (direct):
Na 0.500 0.180 0.680
Na 0.500 0.680 0.820
Na 0.500 0.820 0.320
Na 0.500 0.320 0.180
Zn 0.000 0.365 0.865
Zn 0.000 0.865 0.635
Zn 0.000 0.635 0.135
Zn 0.000 0.135 0.365
Au 0.000 0.000 0.000
Au 0.000 0.500 0.500



A relaxed structure of Na2Zn2Au. Source: Alexandria, functional GGA-PBEsol.

Results
Distance to the lowest polymorph of the same formula ... 362 meV/atom
Magnetization ... 0.0 μB per formula unit
Formation energy ... 0.282 eV per atom
ρ ... 6.2 g/cm³

a b c (Å): 3.814 3.814 7.359
angles (deg): 105.02 105.02 90.00
Positions (direct):
Na 0.250 0.750 0.500
Na 0.750 0.250 0.500
Zn 0.414 0.414 0.827
Zn 0.586 0.586 0.173
Au 0.000 0.000 0.000



A relaxed structure of Nb3Au. Source: Alexandria, functional GGA-PBEsol.

Results
Distance to the lowest polymorph of the same formula ... 18 meV/atom
Magnetization ... 0.0 μB per formula unit
Formation energy ... -0.102 eV per atom
ρ ... 11.4 g/cm³

a b c (Å): 2.774 2.774 9.269
angles (deg): 90.00 90.00 103.67
Positions (direct):
Nb 0.500 0.500 0.752
Nb 0.000 0.000 0.500
Nb 0.500 0.500 0.248
Au 0.000 0.000 0.000



A relaxed structure of Nb3Au2. Source: Alexandria, functional GGA-PBEsol.

Results
Magnetization ... 0.0 μB per formula unit
Formation energy ... -0.181 eV per atom
ρ ... 12.9 g/cm³

a b c (Å): 3.380 3.380 7.941
angles (deg): 102.29 102.29 90.00
Positions (direct):
Nb 0.000 0.000 0.000
Nb 0.600 0.600 0.201
Nb 0.400 0.400 0.799
Au 0.800 0.800 0.600
Au 0.200 0.200 0.400



A relaxed structure of NbAu2. Source: Alexandria, functional GGA-PBEsol.

Results
Magnetization ... 0.0 μB per formula unit
Formation energy ... -0.193 eV per atom
ρ ... 16.0 g/cm³

a b c (Å): 2.726 4.624 4.624
angles (deg): 120.00 90.00 90.00
Positions (direct):
Nb 0.500 0.000 0.000
Au 0.000 0.667 0.333
Au 0.000 0.333 0.667



A relaxed structure of Nb3Au. Source: Alexandria, functional GGA-PBEsol.

Results
Distance to the lowest polymorph of the same formula ... 0 meV/atom
Magnetization ... 0.0 μB per formula unit
Formation energy ... -0.120 eV per atom
ρ ... 11.3 g/cm³

a b c (Å): 5.186 5.186 5.186
angles (deg): 90.00 90.00 90.00
Positions (direct):
Nb 0.500 0.250 0.000
Nb 0.500 0.750 0.000
Nb 0.250 0.000 0.500
Nb 0.750 0.000 0.500
Nb 0.000 0.500 0.250
Nb 0.000 0.500 0.750
Au 0.500 0.500 0.500
Au 0.000 0.000 0.000



The lowest ρ belongs to which entry?
number 1